(1)
# Pm4Er5In2

A relaxed Pm4Er5In2 crystal (PBE-GGA, the Alexandria database).

The structure belongs to space group R-3m (No. 166, hexagonal axes); the cell edges are 5.2355, 5.2355 and 46.8256 Å and the angles 90.00°, 90.00° and 120.00°. Symmetry generates all atoms from Pm at (0.0000, 0.0000, 0.0729), Pm at (0.0000, 0.0000, 0.2258), Er at (0.0000, 0.0000, 0.0000), Er at (0.0000, 0.0000, 0.1484), Er at (0.0000, 0.0000, 0.3030) and In at (0.0000, 0.0000, 0.3773).

Its energy of formation is 178 meV/atom. The value obtained for the final energy is -4.121 eV per atom. Its crystal system is trigonal.

(2)
# LaB2Ru

A relaxed LaB2Ru crystal (PBE-GGA, the Alexandria database).

The structure belongs to space group I4_1/amd (No. 141, origin choice 2); the cell edges are 4.6182, 4.6182 and 13.1136 Å and the angles 90.00°, 90.00° and 90.00°. Symmetry generates all atoms from La at (0.0000, 0.2500, 0.3750), B at (0.0000, 0.0000, 0.0000) and Ru at (0.0000, 0.2500, 0.8750).

For the offset from the most stable computed form, the calculation gives 0.2009 eV per atom. Its energy of formation is -220 meV/atom. The value obtained for the final energy is -7.110 eV per atom. Its crystal system is tetragonal.

(3)
# NaAl2Ag3

A relaxed NaAl2Ag3 crystal (PBE-GGA, the Alexandria database).

The structure belongs to space group Cmcm (No. 63); the cell edges are 10.5004, 8.9884 and 5.4307 Å and the angles 90.00°, 90.00° and 90.00°. Symmetry generates all atoms from Na at (0.0000, 0.1818, 0.2500), Al at (0.2230, 0.5000, 0.0000), Ag at (0.0000, 0.4498, 0.7500) and Ag at (0.2010, 0.2347, 0.7500).

For the offset from the most stable computed form, the calculation gives 0.0172 eV per atom. Its energy of formation is -62 meV/atom. The value obtained for the final energy is -2.955 eV per atom. Its crystal system is orthorhombic.

Which formula does entry 1 have? Pm4Er5In2